A PBEsol-optimized structure of Zr3BRu, computed with meta-GGA SCAN.

Output
The space group is Pm-3m. The calculation puts the formation enthalpy at 0 K at 0.977 eV per atom.

Cell: 4.8481 4.8481 4.8481 Å, 90.00 90.00 90.00°
Atoms (fractional coordinates):
Zr: 0.0000 0.0000 0.5000
Zr: 0.0000 0.5000 0.0000
Zr: 0.5000 0.0000 0.0000
B: 0.5000 0.5000 0.5000
Ru: 0.0000 0.0000 0.0000